This record from Alexandria describes a geometry-optimized NaPmMgAl structure. The functional is GGA-PBE.

a = 5.1627 Å, b = 5.1627 Å, c = 5.1627 Å
α = 60.00°, β = 60.00°, γ = 60.00°
With the nearest neighbours (Å) after each atom.
Fractional positions:
Na: 0.0000 0.0000 0.0000  4 Mg 3.16, 4 Pm 3.16
Mg: 0.2500 0.2500 0.2500  4 Na 3.16, 4 Al 3.16
Al: 0.5000 0.5000 0.5000  4 Pm 3.16, 4 Mg 3.16
Pm: 0.7500 0.7500 0.7500  4 Na 3.16, 4 Al 3.16

Calculated values
As for the final energy: -2.91 eV/atom.



This record from Alexandria describes a geometry-optimized NaCeYS4 structure. The functional is GGA-PBE.

a = 8.0425 Å, b = 8.1773 Å, c = 8.1773 Å
α = 61.51°, β = 60.54°, γ = 60.54°
With the nearest neighbours (Å) after each atom.
Fractional positions:
Na: 0.6335 0.6165 0.1165  4 S 2.76-2.79
Na: 0.3665 0.3835 0.8835  4 S 2.76-2.79
Ce: 0.0000 0.0000 0.0000  6 S 2.73-2.75
Ce: 0.0000 0.5000 0.5000  6 S 2.73-2.75
Y: 0.5000 0.0000 0.5000  6 S 2.75-2.76
Y: 0.0000 0.0000 0.5000  6 S 2.75-2.76
S: 0.7644 0.7623 0.7089  1 Ce 2.73, 2 Y 2.75, 1 Na 2.76
S: 0.2356 0.7911 0.7377  1 Ce 2.73, 2 Y 2.75, 1 Na 2.76
S: 0.7644 0.2089 0.2623  1 Ce 2.73, 2 Y 2.75, 1 Na 2.76
S: 0.2356 0.2377 0.2911  1 Ce 2.73, 2 Y 2.75, 1 Na 2.76
S: 0.2113 0.7612 0.2612  2 Ce 2.75, 1 Y 2.76, 1 Na 2.79
S: 0.7664 0.7612 0.2612  2 Ce 2.75, 1 Y 2.76, 1 Na 2.79
S: 0.2336 0.2388 0.7388  2 Ce 2.75, 1 Y 2.76, 1 Na 2.79
S: 0.7887 0.2388 0.7388  2 Ce 2.75, 1 Y 2.76, 1 Na 2.79

Calculated values
The uncorrected formation energy comes out at -1783.2 meV per atom. As for the final energy: -6.10 eV/atom.



This record from Alexandria describes a geometry-optimized Pr6Dy3Ho2Mg structure. The functional is GGA-PBE.

a = 6.2730 Å, b = 6.2730 Å, c = 11.8227 Å
α = 95.09°, β = 95.09°, γ = 120.02°
With the nearest neighbours (Å) after each atom.
Fractional positions:
Pr: 0.9179 0.5851 0.7520  1 Mg 3.56, 2 Ho 3.56-3.57, 3 Dy 3.60, 6 Pr 3.62-3.63
Pr: 0.7496 0.7496 0.2490  2 Ho 3.57, 1 Mg 3.57, 3 Dy 3.59, 6 Pr 3.62-3.63
Pr: 0.0821 0.4149 0.2480  1 Mg 3.56, 2 Ho 3.56-3.57, 3 Dy 3.60, 6 Pr 3.62-3.63
Pr: 0.5851 0.9179 0.7520  1 Mg 3.56, 2 Ho 3.56-3.57, 3 Dy 3.60, 6 Pr 3.62-3.63
Pr: 0.2504 0.2504 0.7510  2 Ho 3.57, 1 Mg 3.57, 3 Dy 3.59, 6 Pr 3.62-3.63
Pr: 0.4149 0.0821 0.2480  1 Mg 3.56, 2 Ho 3.56-3.57, 3 Dy 3.60, 6 Pr 3.62-3.63
Dy: 0.1666 0.8334 0.5000  6 Pr 3.59-3.60, 6 Dy 3.62
Dy: 0.8334 0.1666 0.5000  6 Pr 3.59-3.60, 6 Dy 3.62
Dy: 0.5000 0.5000 0.5000  6 Pr 3.59-3.60, 6 Dy 3.62
Ho: 0.3332 0.6668 0.0000  6 Pr 3.56-3.57, 3 Ho 3.62, 3 Mg 3.62
Ho: 0.6668 0.3332 0.0000  6 Pr 3.56-3.57, 3 Ho 3.62, 3 Mg 3.62
Mg: 0.0000 0.0000 0.0000  6 Pr 3.56-3.57, 6 Ho 3.62

Calculated values
As for the final energy: -4.41 eV/atom.



This record from Alexandria describes a geometry-optimized ZnTePS structure. The functional is GGA-PBE.

a = 4.0183 Å, b = 3.7258 Å, c = 12.6445 Å
α = 90.00°, β = 90.00°, γ = 90.00°
With the nearest neighbours (Å) after each atom.
Fractional positions:
Zn: 0.0000 0.0000 0.0205  2 S 2.28, 2 P 2.44
Zn: 0.0000 0.5000 0.5205  2 S 2.28, 2 P 2.44
Te: 0.5000 0.0000 0.2774  2 P 2.52
Te: 0.5000 0.5000 0.7774  2 P 2.52
P: 0.5000 0.0000 0.9115  2 Zn 2.44, 2 Te 2.52
P: 0.5000 0.5000 0.4115  2 Zn 2.44, 2 Te 2.52
S: 0.0000 0.0000 0.6248  2 Zn 2.28
S: 0.0000 0.5000 0.1248  2 Zn 2.28

Calculated values
For the offset from the most stable computed form, the calculation gives 4.8 kJ/mol of atoms. The uncorrected formation energy comes out at -90.5 meV per atom. As for the final energy: -3.58 eV/atom.